The following is a DFT calculation (GGA+U) of a relaxed structure of Pm2CrNiO6.

Summary:
* N(E_F): 1.69 states/eV/f.u.
* total DFT energy (no corrections): -7.23 eV/atom
* spin magnetization: 4.00 μB per cell
* symmetry: P4mm, No. 99

a b c (Å): 3.9518 5.4318 5.4318
angles (deg): 90.00 90.00 90.00
With the nearest neighbours (Å) after each atom.
Positions (direct):
Pm (0.0866, 0.5000, 0.0000)  8 O 2.53-2.73
O (0.6714, 0.2437, 0.2437)  1 Cr 1.87, 1 Ni 1.97
O (0.6714, 0.7563, 0.7563)  1 Cr 1.87, 1 Ni 1.97
Ni (0.6407, 0.5000, 0.5000)  6 O 1.96-2.00
O (0.6714, 0.7563, 0.2437)  1 Cr 1.87, 1 Ni 1.97
O (0.6714, 0.2437, 0.7563)  1 Cr 1.87, 1 Ni 1.97
Pm (0.0866, 0.0000, 0.5000)  8 O 2.53-2.73
Cr (0.6475, 0.0000, 0.0000)  6 O 1.87-2.00
O (0.1542, 0.0000, 0.0000)  2 Cr 1.95-2.00
O (0.1457, 0.5000, 0.5000)  2 Ni 1.96-2.00